(1)
## NaBi2As (PBE-GGA)

Data for NaBi2As after structural relaxation.

Lattice parameters (Å, degrees): 7.669 7.669 7.400 58.79 58.79 90.00
Sites, in units of the cell vectors:
As 0.000 0.000 0.000
Na 0.250 0.750 0.500
Bi 0.074 0.625 0.250
As 0.750 0.250 0.500
Na 0.500 0.500 0.000
Bi 0.375 0.324 0.750
Bi 0.875 0.926 0.750
Bi 0.676 0.125 0.250

Computed properties:
The calculation puts the formation energy at 0.115 eV per atom.


(2)
## Li2Pu3USe6 (PBE-GGA)

Data for Li2Pu3USe6 after structural relaxation.

Lattice parameters (Å, degrees): 4.099 8.158 9.169 101.93 102.92 90.00
Sites, in units of the cell vectors:
Se 0.665 0.083 0.330
Pu 0.830 0.175 0.661
Li 0.175 0.351 0.349
Pu 0.500 0.500 0.000
Se 0.669 0.574 0.337
Se 0.335 0.917 0.670
Se 0.331 0.426 0.663
Se 0.998 0.751 0.995
Li 0.825 0.649 0.651
Se 0.002 0.249 0.005
U 0.500 0.000 0.000
Pu 0.170 0.825 0.339

Computed properties:
The uncorrected formation energy is -16.0 eV per formula unit.


(3)
## Ca2Al3Ga4Au (PBE-GGA)

Data for Ca2Al3Ga4Au after structural relaxation.

Lattice parameters (Å, degrees): 4.287 4.287 11.121 90.00 90.00 90.00
Sites, in units of the cell vectors:
Ga 0.000 0.000 0.000
Ga 0.500 0.500 0.000
Ga 0.500 0.000 0.639
Al 0.000 0.500 0.136
Ga 0.000 0.500 0.361
Al 0.500 0.000 0.864
Al 0.000 0.000 0.500
Au 0.500 0.500 0.500
Ca 0.500 0.000 0.254
Ca 0.000 0.500 0.746

Computed properties:
The calculation puts the formation energy at -0.383 eV per atom.


(4)
## NaTiNb3 (PBE-GGA)

Data for NaTiNb3 after structural relaxation.

Lattice parameters (Å, degrees): 4.819 4.819 4.819 90.00 90.00 90.00
Sites, in units of the cell vectors:
Ti 0.000 0.000 0.000
Na 0.500 0.500 0.500
Nb 0.000 0.000 0.500
Nb 0.500 0.000 0.000
Nb 0.000 0.500 0.000

Computed properties:
For the polymorph energy (0 for the lowest one), the calculation gives 0 meV/atom. The calculation puts the formation energy at 1.317 eV per atom.


(5)
## Fe3SeI (PBE-GGA)

Data for Fe3SeI after structural relaxation.

Lattice parameters (Å, degrees): 4.817 4.817 4.817 90.00 90.00 90.00
Sites, in units of the cell vectors:
Fe 0.000 0.500 0.000
Fe 0.000 0.000 0.500
I 0.000 0.000 0.000
Fe 0.500 0.000 0.000
Se 0.500 0.500 0.500

Computed properties:
For the polymorph energy (0 for the lowest one), the calculation gives 648 meV/atom. The uncorrected formation energy is 6.8 eV per formula unit.


(6)
## Th2TiCr2N6 (PBE-GGA)

Data for Th2TiCr2N6 after structural relaxation.

Lattice parameters (Å, degrees): 5.403 5.403 6.502 65.45 65.45 60.00
Sites, in units of the cell vectors:
Th 0.786 0.786 0.641
Th 0.214 0.214 0.359
N 0.225 0.747 0.280
Cr 0.607 0.607 0.179
N 0.253 0.775 0.720
N 0.253 0.253 0.720
N 0.747 0.747 0.280
N 0.775 0.253 0.720
Ti 0.000 0.000 0.000
N 0.747 0.225 0.280
Cr 0.393 0.393 0.821

Computed properties:
The uncorrected formation energy is -9.2 eV per formula unit.


(7)
## CeSi6 (PBE-GGA)

Data for CeSi6 after structural relaxation.

Lattice parameters (Å, degrees): 5.770 5.770 5.770 109.47 109.47 109.47
Sites, in units of the cell vectors:
Si 0.250 0.750 0.500
Si 0.250 0.500 0.750
Si 0.500 0.250 0.750
Si 0.750 0.250 0.500
Si 0.500 0.750 0.250
Si 0.750 0.500 0.250
Ce 0.000 0.000 0.000

Computed properties:
The uncorrected formation energy is 0.8 eV per formula unit.


(8)
## Tb12Y7Zr (PBE-GGA)

Data for Tb12Y7Zr after structural relaxation.

Lattice parameters (Å, degrees): 8.692 8.692 8.692 91.03 91.03 91.03
Sites, in units of the cell vectors:
Tb 0.365 0.222 0.760
Y 0.500 0.500 0.500
Tb 0.442 0.122 0.366
Y 0.969 0.669 0.063
Tb 0.778 0.240 0.635
Zr 0.000 0.000 0.000
Tb 0.635 0.778 0.240
Tb 0.122 0.366 0.442
Tb 0.634 0.558 0.878
Y 0.669 0.063 0.969
Tb 0.366 0.442 0.122
Tb 0.558 0.878 0.634
Y 0.937 0.031 0.331
Y 0.331 0.937 0.031
Y 0.063 0.969 0.669
Tb 0.760 0.365 0.222
Tb 0.222 0.760 0.365
Tb 0.240 0.635 0.778
Tb 0.878 0.634 0.558
Y 0.031 0.331 0.937

Computed properties:
For the polymorph energy (0 for the lowest one), the calculation gives 0 meV/atom. The calculation puts the formation energy at 0.266 eV per atom.


(9)
## Ba5Mg (PBE-GGA)

Data for Ba5Mg after structural relaxation.

Lattice parameters (Å, degrees): 7.731 7.731 7.259 90.00 90.00 120.00
Sites, in units of the cell vectors:
Ba 0.500 0.500 0.500
Mg 0.000 0.000 0.000
Ba 0.667 0.333 0.000
Ba 0.500 0.000 0.500
Ba 0.000 0.500 0.500
Ba 0.333 0.667 0.000

Computed properties:
For the polymorph energy (0 for the lowest one), the calculation gives 382 meV/atom. The calculation puts the formation energy at 0.381 eV per atom.


(10)
## ThMg2Zn2Ir (PBE-GGA)

Data for ThMg2Zn2Ir after structural relaxation.

Lattice parameters (Å, degrees): 4.820 4.820 6.590 111.45 111.45 90.00
Sites, in units of the cell vectors:
Zn 0.213 0.213 0.425
Mg 0.250 0.750 0.500
Ir 0.000 0.000 0.000
Th 0.500 0.500 0.000
Mg 0.750 0.250 0.500
Zn 0.787 0.787 0.575

Computed properties:
The calculation puts the formation energy at 0.246 eV per atom.


(11)
## Sm2AlZn5 (PBE-GGA)

Data for Sm2AlZn5 after structural relaxation.

Lattice parameters (Å, degrees): 6.073 6.073 6.073 93.21 118.16 118.16
Sites, in units of the cell vectors:
Zn 0.000 0.297 0.759
Sm 0.500 0.278 0.778
Zn 0.000 0.759 0.297
Zn 0.538 0.297 0.297
Sm 0.500 0.778 0.278
Zn 0.000 0.246 0.246
Al 0.000 0.806 0.806
Zn 0.462 0.759 0.759

Computed properties:
For the polymorph energy (0 for the lowest one), the calculation gives 136 meV/atom. The calculation puts the formation energy at -0.224 eV per atom.


(12)
## AcNdSc2 (PBE-GGA)

Data for AcNdSc2 after structural relaxation.

Lattice parameters (Å, degrees): 4.026 4.026 7.796 90.00 90.00 90.00
Sites, in units of the cell vectors:
Nd 0.500 0.500 0.500
Ac 0.500 0.500 0.000
Sc 0.000 0.000 0.266
Sc 0.000 0.000 0.734

Computed properties:
For the polymorph energy (0 for the lowest one), the calculation gives 0 meV/atom. The calculation puts the formation energy at 0.084 eV per atom.


(13)
## BaDy2ZnO5 (PBE-GGA)

Data for BaDy2ZnO5 after structural relaxation.

Lattice parameters (Å, degrees): 5.759 7.148 12.443 90.00 90.00 90.00
Sites, in units of the cell vectors:
O 0.498 0.663 0.066
O 0.502 0.337 0.934
Dy 0.750 0.618 0.208
Dy 0.250 0.400 0.074
O 0.500 0.858 0.275
O 0.500 0.642 0.775
Dy 0.750 0.600 0.926
O 0.250 0.425 0.600
Zn 0.750 0.308 0.350
Zn 0.250 0.692 0.650
O 0.998 0.163 0.434
O 0.002 0.837 0.566
Dy 0.250 0.118 0.292
O 0.000 0.142 0.725
O 0.998 0.337 0.934
O 0.502 0.163 0.434
O 0.750 0.575 0.400
Ba 0.750 0.423 0.602
O 0.498 0.837 0.566
O 0.500 0.358 0.225
O 0.250 0.075 0.100
Ba 0.250 0.923 0.898
Dy 0.250 0.382 0.792
Zn 0.250 0.808 0.150
Ba 0.750 0.077 0.102
Dy 0.750 0.900 0.426
O 0.000 0.358 0.225
O 0.000 0.858 0.275
O 0.500 0.142 0.725
O 0.002 0.663 0.066
Ba 0.250 0.577 0.398
Dy 0.250 0.100 0.574
Zn 0.750 0.192 0.850
O 0.000 0.642 0.775
Dy 0.750 0.882 0.708
O 0.750 0.925 0.900

Computed properties:
For the polymorph energy (0 for the lowest one), the calculation gives 0 meV/atom. The uncorrected formation energy is -25.9 eV per formula unit.


(14)
## Ho4ZnCu2Ag (PBE-GGA)

Data for Ho4ZnCu2Ag after structural relaxation.

Lattice parameters (Å, degrees): 4.978 4.978 8.650 73.28 73.28 60.00
Sites, in units of the cell vectors:
Cu 0.752 0.752 0.744
Ag 0.000 0.000 0.000
Zn 0.500 0.500 0.500
Ho 0.126 0.126 0.622
Ho 0.874 0.874 0.378
Ho 0.376 0.376 0.871
Ho 0.624 0.624 0.129
Cu 0.248 0.248 0.256

Computed properties:
The calculation puts the formation energy at -0.287 eV per atom.


(15)
## CoAs2Br8 (PBE-GGA)

Data for CoAs2Br8 after structural relaxation.

Lattice parameters (Å, degrees): 8.075 8.708 8.708 111.44 82.87 82.87
Sites, in units of the cell vectors:
Br 0.918 0.939 0.689
Br 0.722 0.562 0.562
Co 0.000 0.000 0.000
Br 0.082 0.311 0.061
Br 0.918 0.689 0.939
Br 0.278 0.438 0.438
Br 0.294 0.874 0.874
Br 0.082 0.061 0.311
Br 0.706 0.126 0.126
As 0.284 0.195 0.195
As 0.716 0.805 0.805

Computed properties:
The uncorrected formation energy is -3.5 eV per formula unit.


(16)
## Mn3Se (PBE-GGA)

Data for Mn3Se after structural relaxation.

Lattice parameters (Å, degrees): 5.215 5.215 4.267 90.00 90.00 120.00
Sites, in units of the cell vectors:
Se 0.667 0.333 0.750
Mn 0.157 0.315 0.750
Mn 0.315 0.157 0.250
Mn 0.685 0.843 0.750
Mn 0.843 0.685 0.250
Mn 0.157 0.843 0.750
Mn 0.843 0.157 0.250
Se 0.333 0.667 0.250

Computed properties:
For the polymorph energy (0 for the lowest one), the calculation gives 133 meV/atom. The uncorrected formation energy is 0.9 eV per formula unit.


(17)
## CeY2C (PBE-GGA)

Data for CeY2C after structural relaxation.

Lattice parameters (Å, degrees): 3.505 3.505 10.012 79.92 79.92 60.00
Sites, in units of the cell vectors:
Ce 0.000 0.000 0.000
Y 0.880 0.880 0.361
Y 0.120 0.120 0.639
C 0.500 0.500 0.500

Computed properties:
The calculation puts the formation energy at -0.048 eV per atom.


(18)
## Ce2ZnO (PBE-GGA)

Data for Ce2ZnO after structural relaxation.

Lattice parameters (Å, degrees): 3.059 3.059 7.688 90.00 90.00 90.00
Sites, in units of the cell vectors:
O 0.500 0.500 0.000
Ce 0.000 0.000 0.204
Zn 0.500 0.500 0.500
Ce 0.000 0.000 0.796

Computed properties:
For the polymorph energy (0 for the lowest one), the calculation gives 0 meV/atom. The uncorrected formation energy is -4.5 eV per formula unit.


(19)
## PmN2Cl4 (PBE-GGA)

Data for PmN2Cl4 after structural relaxation.

Lattice parameters (Å, degrees): 4.841 4.841 10.230 76.31 76.31 60.00
Sites, in units of the cell vectors:
Cl 0.095 0.095 0.716
Cl 0.905 0.905 0.284
N 0.216 0.216 0.351
Pm 0.000 0.000 0.000
N 0.784 0.784 0.649
Cl 0.311 0.311 0.067
Cl 0.689 0.689 0.933

Computed properties:
The uncorrected formation energy is 2.5 eV per formula unit.


(20)
## DyTm3Pu2Te6 (PBE-GGA)

Data for DyTm3Pu2Te6 after structural relaxation.

Lattice parameters (Å, degrees): 4.329 8.747 9.749 103.50 102.83 90.00
Sites, in units of the cell vectors:
Te 0.997 0.252 0.994
Te 0.335 0.412 0.671
Pu 0.834 0.667 0.668
Tm 0.832 0.166 0.664
Dy 0.500 0.000 0.000
Te 0.333 0.923 0.666
Te 0.665 0.588 0.329
Tm 0.500 0.500 0.000
Pu 0.166 0.333 0.332
Tm 0.168 0.834 0.336
Te 0.667 0.077 0.334
Te 0.003 0.748 0.006

Computed properties:
The uncorrected formation energy is -14.3 eV per formula unit.


Number 1: D(E_F) 0.07 states/eV per atom. Number 2: D(E_F) 3.04 states/eV per atom. Number 3: D(E_F) 0.18 states/eV per atom. Number 4: D(E_F) 2.20 states/eV per atom. Number 5: D(E_F) 0.55 states/eV per atom. Number 6: D(E_F) 0.63 states/eV per atom. Number 7: D(E_F) 1.46 states/eV per atom. Number 8: D(E_F) 1.90 states/eV per atom. Number 9: D(E_F) 1.64 states/eV per atom. Number 10: D(E_F) 0.48 states/eV per atom. Number 11: D(E_F) 0.73 states/eV per atom. Number 12: D(E_F) 1.44 states/eV per atom. Number 13: D(E_F) 0.00 states/eV per atom. Number 14: D(E_F) 0.74 states/eV per atom. Number 15: D(E_F) 0.33 states/eV per atom. Number 16: D(E_F) 0.68 states/eV per atom. Number 17: D(E_F) 1.59 states/eV per atom. Number 18: D(E_F) 1.85 states/eV per atom. Number 19: D(E_F) 0.59 states/eV per atom. Number 20: D(E_F) 1.86 states/eV per atom.